[1]
Here is a geometry-optimized CsLi2ReI8 structure from Alexandria. Energies are from PBE-GGA.

- Uncorrected formation energy: -0.558 eV/atom
- SG: No. 2
- Calculated volume: 40.58 A^3/atom

The structure in CIF format:
```
data_CsLi2ReI8
_cell_length_a 6.709
_cell_length_b 7.494
_cell_length_c 10.104
_cell_angle_alpha 86.85
_cell_angle_beta 75.20
_cell_angle_gamma 82.69
_space_group_name_H-M_alt 'P 1'
_space_group_IT_number 1
_space_group_name_Hall 'P 1'
loop_
_atom_site_label
_atom_site_fract_x
_atom_site_fract_y
_atom_site_fract_z
Cs1 0.000 0.000 0.000
Li1 0.207 0.588 0.307
Li2 0.793 0.412 0.693
Re1 0.500 0.000 0.500
I1 0.200 0.817 0.651
I2 0.230 0.319 0.522
I3 0.243 0.499 0.026
I4 0.406 0.907 0.263
I5 0.594 0.093 0.737
I6 0.757 0.501 0.974
I7 0.770 0.681 0.478
I8 0.800 0.183 0.349
```

---

[2]
Here is a geometry-optimized CsLiReI6 structure from Alexandria. Energies are from PBE-GGA.

- Uncorrected formation energy: -0.558 eV/atom
- SG: No. 163
- Calculated volume: 46.86 A^3/atom

The structure in CIF format:
```
data_CsLiReI6
_cell_length_a 7.484
_cell_length_b 7.484
_cell_length_c 17.387
_cell_angle_alpha 90.00
_cell_angle_beta 90.00
_cell_angle_gamma 120.00
_space_group_name_H-M_alt 'P 1'
_space_group_IT_number 1
_space_group_name_Hall 'P 1'
loop_
_atom_site_label
_atom_site_fract_x
_atom_site_fract_y
_atom_site_fract_z
Cs1 0.000 0.000 0.000
Cs2 0.000 0.000 0.500
Li1 0.333 0.667 0.250
Li2 0.667 0.333 0.750
Re1 0.333 0.667 0.750
Re2 0.667 0.333 0.250
I1 0.023 0.379 0.659
I2 0.023 0.644 0.841
I3 0.356 0.379 0.841
I4 0.356 0.977 0.659
I5 0.379 0.023 0.159
I6 0.379 0.356 0.341
I7 0.621 0.644 0.659
I8 0.621 0.977 0.841
I9 0.644 0.023 0.341
I10 0.644 0.621 0.159
I11 0.977 0.356 0.159
I12 0.977 0.621 0.341
```

---

[3]
Here is a geometry-optimized Cs2LiRuI6 structure from Alexandria. Energies are from PBE-GGA.

- Uncorrected formation energy: -0.807 eV/atom
- SG: No. 225
- Calculated volume: 38.88 A^3/atom

The structure in CIF format:
```
data_Cs2LiRuI6
_cell_length_a 8.192
_cell_length_b 8.192
_cell_length_c 8.192
_cell_angle_alpha 60.00
_cell_angle_beta 60.00
_cell_angle_gamma 60.00
_space_group_name_H-M_alt 'P 1'
_space_group_IT_number 1
_space_group_name_Hall 'P 1'
loop_
_atom_site_label
_atom_site_fract_x
_atom_site_fract_y
_atom_site_fract_z
Cs1 0.250 0.250 0.250
Cs2 0.750 0.750 0.750
Li1 0.000 0.000 0.000
Ru1 0.500 0.500 0.500
I1 0.263 0.263 0.737
I2 0.263 0.737 0.263
I3 0.263 0.737 0.737
I4 0.737 0.263 0.263
I5 0.737 0.263 0.737
I6 0.737 0.737 0.263
```

---

[4]
Here is a geometry-optimized CsLiSbI structure from Alexandria. Energies are from PBE-GGA.

- Uncorrected formation energy: -0.581 eV/atom
- SG: No. 107
- Calculated volume: 35.90 A^3/atom

The structure in CIF format:
```
data_CsLiSbI
_cell_length_a 10.082
_cell_length_b 10.082
_cell_length_c 10.082
_cell_angle_alpha 158.01
_cell_angle_beta 158.01
_cell_angle_gamma 31.29
_space_group_name_H-M_alt 'P 1'
_space_group_IT_number 1
_space_group_name_Hall 'P 1'
loop_
_atom_site_label
_atom_site_fract_x
_atom_site_fract_y
_atom_site_fract_z
Cs1 0.000 0.000 0.000
Li1 0.790 0.790 0.000
Sb1 0.646 0.646 0.000
I1 0.352 0.352 0.000
```

---

[5]
Here is a geometry-optimized CsLiSbI structure from Alexandria. Energies are from PBE-GGA.

- Uncorrected formation energy: -0.532 eV/atom
- SG: No. 6
- Calculated volume: 43.64 A^3/atom

The structure in CIF format:
```
data_CsLiSbI
_cell_length_a 5.491
_cell_length_b 5.671
_cell_length_c 6.053
_cell_angle_alpha 90.00
_cell_angle_beta 112.16
_cell_angle_gamma 90.00
_space_group_name_H-M_alt 'P 1'
_space_group_IT_number 1
_space_group_name_Hall 'P 1'
loop_
_atom_site_label
_atom_site_fract_x
_atom_site_fract_y
_atom_site_fract_z
Cs1 0.000 0.000 0.000
Li1 0.499 0.500 0.502
Sb1 0.998 0.500 0.500
I1 0.499 0.500 0.000
```

---

[6]
Here is a geometry-optimized CsLiSb2I structure from Alexandria. Energies are from PBE-GGA.

- Uncorrected formation energy: -0.194 eV/atom
- SG: No. 123
- Calculated volume: 37.89 A^3/atom

The structure in CIF format:
```
data_CsLiSb2I
_cell_length_a 5.155
_cell_length_b 5.155
_cell_length_c 7.129
_cell_angle_alpha 90.00
_cell_angle_beta 90.00
_cell_angle_gamma 90.00
_space_group_name_H-M_alt 'P 1'
_space_group_IT_number 1
_space_group_name_Hall 'P 1'
loop_
_atom_site_label
_atom_site_fract_x
_atom_site_fract_y
_atom_site_fract_z
Cs1 0.000 0.000 0.000
Li1 0.500 0.500 0.500
Sb1 0.000 0.500 0.500
Sb2 0.500 0.000 0.500
I1 0.500 0.500 0.000
```

---

[7]
Here is a geometry-optimized CsLiSbI structure from Alexandria. Energies are from PBE-GGA.

- Uncorrected formation energy: -0.581 eV/atom
- SG: No. 8
- Calculated volume: 37.58 A^3/atom

The structure in CIF format:
```
data_CsLiSbI
_cell_length_a 10.015
_cell_length_b 10.015
_cell_length_c 3.926
_cell_angle_alpha 101.10
_cell_angle_beta 101.10
_cell_angle_gamma 22.91
_space_group_name_H-M_alt 'P 1'
_space_group_IT_number 1
_space_group_name_Hall 'P 1'
loop_
_atom_site_label
_atom_site_fract_x
_atom_site_fract_y
_atom_site_fract_z
Cs1 0.000 0.000 0.000
Li1 0.771 0.771 0.264
Sb1 0.654 0.654 0.651
I1 0.368 0.368 0.370
```

---

[8]
Here is a geometry-optimized CsLiSbI structure from Alexandria. Energies are from PBE-GGA.

- Uncorrected formation energy: -0.500 eV/atom
- SG: No. 1
- Calculated volume: 46.90 A^3/atom

The structure in CIF format:
```
data_CsLiSbI
_cell_length_a 5.229
_cell_length_b 6.161
_cell_length_c 6.633
_cell_angle_alpha 105.90
_cell_angle_beta 113.05
_cell_angle_gamma 90.24
_space_group_name_H-M_alt 'P 1'
_space_group_IT_number 1
_space_group_name_Hall 'P 1'
loop_
_atom_site_label
_atom_site_fract_x
_atom_site_fract_y
_atom_site_fract_z
Cs1 0.000 0.000 0.000
Li1 0.695 0.600 0.389
Sb1 0.262 0.676 0.523
I1 0.330 0.240 0.656
```

---

[9]
Here is a geometry-optimized CsLiSbI structure from Alexandria. Energies are from PBE-GGA.

- Uncorrected formation energy: -0.475 eV/atom
- SG: No. 6
- Calculated volume: 45.49 A^3/atom

The structure in CIF format:
```
data_CsLiSbI
_cell_length_a 6.775
_cell_length_b 3.670
_cell_length_c 7.343
_cell_angle_alpha 90.00
_cell_angle_beta 94.73
_cell_angle_gamma 90.00
_space_group_name_H-M_alt 'P 1'
_space_group_IT_number 1
_space_group_name_Hall 'P 1'
loop_
_atom_site_label
_atom_site_fract_x
_atom_site_fract_y
_atom_site_fract_z
Cs1 0.000 0.000 0.000
Li1 0.377 0.000 0.647
Sb1 0.045 0.500 0.489
I1 0.502 0.500 0.904
```

---

[10]
Here is a geometry-optimized CsLiSbI structure from Alexandria. Energies are from PBE-GGA.

- Uncorrected formation energy: -0.528 eV/atom
- SG: No. 1
- Calculated volume: 45.36 A^3/atom

The structure in CIF format:
```
data_CsLiSbI
_cell_length_a 5.149
_cell_length_b 6.019
_cell_length_c 6.209
_cell_angle_alpha 94.65
_cell_angle_beta 107.34
_cell_angle_gamma 95.91
_space_group_name_H-M_alt 'P 1'
_space_group_IT_number 1
_space_group_name_Hall 'P 1'
loop_
_atom_site_label
_atom_site_fract_x
_atom_site_fract_y
_atom_site_fract_z
Cs1 0.000 0.000 0.000
Li1 0.064 0.530 0.423
Sb1 0.528 0.583 0.299
I1 0.470 0.451 0.803
```

---

[11]
Here is a geometry-optimized CsLiSbI2 structure from Alexandria. Energies are from PBE-GGA.

- Uncorrected formation energy: -0.526 eV/atom
- SG: No. 123
- Calculated volume: 37.46 A^3/atom

The structure in CIF format:
```
data_CsLiSbI2
_cell_length_a 5.948
_cell_length_b 5.948
_cell_length_c 5.294
_cell_angle_alpha 90.00
_cell_angle_beta 90.00
_cell_angle_gamma 90.00
_space_group_name_H-M_alt 'P 1'
_space_group_IT_number 1
_space_group_name_Hall 'P 1'
loop_
_atom_site_label
_atom_site_fract_x
_atom_site_fract_y
_atom_site_fract_z
Cs1 0.000 0.000 0.000
Li1 0.500 0.500 0.500
Sb1 0.500 0.500 0.000
I1 0.000 0.500 0.500
I2 0.500 0.000 0.500
```

---

[12]
Here is a geometry-optimized CsLiSbI structure from Alexandria. Energies are from PBE-GGA.

- Uncorrected formation energy: -0.518 eV/atom
- SG: No. 6
- Calculated volume: 43.67 A^3/atom

The structure in CIF format:
```
data_CsLiSbI
_cell_length_a 6.108
_cell_length_b 4.090
_cell_length_c 6.998
_cell_angle_alpha 90.00
_cell_angle_beta 92.15
_cell_angle_gamma 90.00
_space_group_name_H-M_alt 'P 1'
_space_group_IT_number 1
_space_group_name_Hall 'P 1'
loop_
_atom_site_label
_atom_site_fract_x
_atom_site_fract_y
_atom_site_fract_z
Cs1 0.000 0.000 0.000
Li1 0.429 0.000 0.478
Sb1 0.520 0.500 0.215
I1 0.494 0.500 0.735
```

---

[13]
Here is a geometry-optimized CsLiSb2I structure from Alexandria. Energies are from PBE-GGA.

- Uncorrected formation energy: 0.710 eV/atom
- SG: No. 123
- Calculated volume: 60.90 A^3/atom

The structure in CIF format:
```
data_CsLiSb2I
_cell_length_a 6.567
_cell_length_b 6.567
_cell_length_c 7.060
_cell_angle_alpha 90.00
_cell_angle_beta 90.00
_cell_angle_gamma 90.00
_space_group_name_H-M_alt 'P 1'
_space_group_IT_number 1
_space_group_name_Hall 'P 1'
loop_
_atom_site_label
_atom_site_fract_x
_atom_site_fract_y
_atom_site_fract_z
Cs1 0.000 0.000 0.000
Li1 0.500 0.500 0.500
Sb1 0.000 0.500 0.000
Sb2 0.500 0.000 0.000
I1 0.000 0.000 0.500
```

---

[14]
Here is a geometry-optimized CsLiSbI structure from Alexandria. Energies are from PBE-GGA.

- Uncorrected formation energy: -0.501 eV/atom
- SG: No. 8
- Calculated volume: 43.62 A^3/atom

The structure in CIF format:
```
data_CsLiSbI
_cell_length_a 5.237
_cell_length_b 5.237
_cell_length_c 7.438
_cell_angle_alpha 97.42
_cell_angle_beta 97.42
_cell_angle_gamma 59.87
_space_group_name_H-M_alt 'P 1'
_space_group_IT_number 1
_space_group_name_Hall 'P 1'
loop_
_atom_site_label
_atom_site_fract_x
_atom_site_fract_y
_atom_site_fract_z
Cs1 0.000 0.000 0.000
Li1 0.618 0.618 0.617
Sb1 0.275 0.275 0.678
I1 0.374 0.374 0.326
```

---

[15]
Here is a geometry-optimized CsLiSbI2 structure from Alexandria. Energies are from PBE-GGA.

- Uncorrected formation energy: 0.054 eV/atom
- SG: No. 123
- Calculated volume: 75.71 A^3/atom

The structure in CIF format:
```
data_CsLiSbI2
_cell_length_a 7.277
_cell_length_b 7.277
_cell_length_c 7.149
_cell_angle_alpha 90.00
_cell_angle_beta 90.00
_cell_angle_gamma 90.00
_space_group_name_H-M_alt 'P 1'
_space_group_IT_number 1
_space_group_name_Hall 'P 1'
loop_
_atom_site_label
_atom_site_fract_x
_atom_site_fract_y
_atom_site_fract_z
Cs1 0.000 0.000 0.000
Li1 0.500 0.500 0.500
Sb1 0.000 0.000 0.500
I1 0.000 0.500 0.000
I2 0.500 0.000 0.000
```

---

[16]
Here is a geometry-optimized CsLi2SbI6 structure from Alexandria. Energies are from PBE-GGA.

- Uncorrected formation energy: -0.930 eV/atom
- SG: No. 2
- Calculated volume: 46.33 A^3/atom

The structure in CIF format:
```
data_CsLi2SbI6
_cell_length_a 7.563
_cell_length_b 7.563
_cell_length_c 10.317
_cell_angle_alpha 89.99
_cell_angle_beta 68.53
_cell_angle_gamma 60.01
_space_group_name_H-M_alt 'P 1'
_space_group_IT_number 1
_space_group_name_Hall 'P 1'
loop_
_atom_site_label
_atom_site_fract_x
_atom_site_fract_y
_atom_site_fract_z
Cs1 0.000 0.000 0.000
Li1 0.334 0.833 0.499
Li2 0.666 0.167 0.501
Sb1 0.000 0.500 0.500
I1 0.124 0.773 0.318
I2 0.217 0.556 0.682
I3 0.454 0.103 0.318
I4 0.546 0.897 0.682
I5 0.783 0.444 0.318
I6 0.876 0.227 0.682
```

---

[17]
Here is a geometry-optimized Cs2Li2ScI6 structure from Alexandria. Energies are from PBE-GGA.

- Uncorrected formation energy: -1.229 eV/atom
- SG: No. 12
- Calculated volume: 45.16 A^3/atom

The structure in CIF format:
```
data_Cs2Li2ScI6
_cell_length_a 8.479
_cell_length_b 8.479
_cell_length_c 8.852
_cell_angle_alpha 112.63
_cell_angle_beta 112.63
_cell_angle_gamma 60.72
_space_group_name_H-M_alt 'P 1'
_space_group_IT_number 1
_space_group_name_Hall 'P 1'
loop_
_atom_site_label
_atom_site_fract_x
_atom_site_fract_y
_atom_site_fract_z
Cs1 0.209 0.209 0.179
Cs2 0.791 0.791 0.821
Li1 0.426 0.426 0.717
Li2 0.574 0.574 0.283
Sc1 0.000 0.000 0.500
I1 0.205 0.724 0.231
I2 0.229 0.229 0.631
I3 0.276 0.795 0.769
I4 0.724 0.205 0.231
I5 0.771 0.771 0.369
I6 0.795 0.276 0.769
```

---

[18]
Here is a geometry-optimized Cs2LiScI6 structure from Alexandria. Energies are from PBE-GGA.

- Uncorrected formation energy: -1.360 eV/atom
- SG: No. 225
- Calculated volume: 41.81 A^3/atom

The structure in CIF format:
```
data_Cs2LiScI6
_cell_length_a 8.393
_cell_length_b 8.393
_cell_length_c 8.393
_cell_angle_alpha 60.00
_cell_angle_beta 60.00
_cell_angle_gamma 60.00
_space_group_name_H-M_alt 'P 1'
_space_group_IT_number 1
_space_group_name_Hall 'P 1'
loop_
_atom_site_label
_atom_site_fract_x
_atom_site_fract_y
_atom_site_fract_z
Cs1 0.250 0.250 0.250
Cs2 0.750 0.750 0.750
Li1 0.000 0.000 0.000
Sc1 0.500 0.500 0.500
I1 0.255 0.255 0.745
I2 0.255 0.745 0.255
I3 0.255 0.745 0.745
I4 0.745 0.255 0.255
I5 0.745 0.255 0.745
I6 0.745 0.745 0.255
```

---

[19]
Here is a geometry-optimized CsLiScI2 structure from Alexandria. Energies are from PBE-GGA.

- Uncorrected formation energy: 0.309 eV/atom
- SG: No. 123
- Calculated volume: 67.91 A^3/atom

The structure in CIF format:
```
data_CsLiScI2
_cell_length_a 7.047
_cell_length_b 7.047
_cell_length_c 6.837
_cell_angle_alpha 90.00
_cell_angle_beta 90.00
_cell_angle_gamma 90.00
_space_group_name_H-M_alt 'P 1'
_space_group_IT_number 1
_space_group_name_Hall 'P 1'
loop_
_atom_site_label
_atom_site_fract_x
_atom_site_fract_y
_atom_site_fract_z
Cs1 0.000 0.000 0.000
Li1 0.500 0.500 0.500
Sc1 0.000 0.000 0.500
I1 0.000 0.500 0.000
I2 0.500 0.000 0.000
```

---

[20]
Here is a geometry-optimized Cs2LiScI6 structure from Alexandria. Energies are from PBE-GGA.

- Uncorrected formation energy: -1.376 eV/atom
- SG: No. 166
- Calculated volume: 42.59 A^3/atom

The structure in CIF format:
```
data_Cs2LiScI6
_cell_length_a 14.782
_cell_length_b 14.782
_cell_length_c 14.782
_cell_angle_alpha 32.98
_cell_angle_beta 32.98
_cell_angle_gamma 32.98
_space_group_name_H-M_alt 'P 1'
_space_group_IT_number 1
_space_group_name_Hall 'P 1'
loop_
_atom_site_label
_atom_site_fract_x
_atom_site_fract_y
_atom_site_fract_z
Cs1 0.121 0.121 0.121
Cs2 0.292 0.292 0.292
Cs3 0.708 0.708 0.708
Cs4 0.879 0.879 0.879
Li1 0.000 0.000 0.000
Li2 0.500 0.500 0.500
Sc1 0.415 0.415 0.415
Sc2 0.585 0.585 0.585
I1 0.133 0.617 0.617
I2 0.211 0.211 0.702
I3 0.211 0.702 0.211
I4 0.298 0.789 0.789
I5 0.383 0.383 0.867
I6 0.383 0.867 0.383
I7 0.617 0.133 0.617
I8 0.617 0.617 0.133
I9 0.702 0.211 0.211
I10 0.789 0.298 0.789
I11 0.789 0.789 0.298
I12 0.867 0.383 0.383
```